Entry from Alexandria via LeMat-Bulk: Cr2RuRh after structural relaxation (PBE-GGA).

The formation energy is 0.093 eV per atom. The crystal system is monoclinic. The total magnetization is 0.0 μB/cell. The calculation puts the volume at 104.0 Å³ per cell. The energy comes out at -71.007 eV per cell.

It has space group C2/m (No. 12), with a = 8.697 Å, b = 2.641 Å, c = 4.597 Å, α = 90.00°, β = 100.03° and γ = 90.00°. The asymmetric unit holds Cr at (0.249, 0.000, 0.254), Ru at (0.000, 0.000, 0.500) and Rh at (0.000, 0.500, 0.000).